Entry 1:
Density functional theory data (PBE-GGA) for ZrAsSeN2 after structural relaxation.

Cell: 4.125 4.125 5.648 Å, 90.00 90.00 90.00°
Element x y z (fractional)
1 Zr 0.000 0.000 0.000
2 As 0.500 0.500 0.500
3 Se 0.000 0.000 0.500
4 N 0.000 0.500 0.000
5 N 0.500 0.000 0.000

Polymorph energy (0 for the lowest one) ... 0.0 meV per atom
Electronic total energy ... -6.118 eV/atom
V ... 19.22 A^3/atom
Formation energy without anion corrections ... 0.55 eV per atom

Entry 2:
Density functional theory data (PBE-GGA) for ZrAsSe2N after structural relaxation.

Cell: 4.449 4.449 4.312 Å, 90.00 90.00 90.00°
Element x y z (fractional)
1 Zr 0.000 0.000 0.000
2 As 0.500 0.500 0.000
3 Se 0.000 0.500 0.500
4 Se 0.500 0.000 0.500
5 N 0.500 0.500 0.500

Polymorph energy (0 for the lowest one) ... 101.5 meV per atom
Electronic total energy ... -5.420 eV/atom
V ... 17.07 A^3/atom
Formation energy without anion corrections ... 0.28 eV per atom